Cs2Cd12Ag3Hg | GGA-PBE | optimized geometry

Computed properties:
The energy relative to the elements is 130 meV/atom. The total energy comes out at -19.2 eV/f.u. Its space-group type is No. 166.

Unit cell a=9.2759 b=9.2759 c=9.2759 alpha=64.18 beta=64.18 gamma=64.18
Positions (direct):
Cs  0.0916  0.0916  0.0916
Cs  0.9084  0.9084  0.9084
Cd  0.1390  0.6256  0.6256
Cd  0.1657  0.1657  0.4946
Cd  0.1657  0.4946  0.1657
Cd  0.3744  0.3744  0.8610
Cd  0.3744  0.8610  0.3744
Cd  0.4946  0.1657  0.1657
Cd  0.5054  0.8343  0.8343
Cd  0.6256  0.1390  0.6256
Cd  0.6256  0.6256  0.1390
Cd  0.8343  0.5054  0.8343
Cd  0.8343  0.8343  0.5054
Cd  0.8610  0.3744  0.3744
Ag  0.0000  0.5000  0.5000
Ag  0.5000  0.0000  0.5000
Ag  0.5000  0.5000  0.0000
Hg  0.5000  0.5000  0.5000